# HfV3 PBE-GGA relaxed
data_HfV3
_space_group_name_H-M_alt 'P m m 2'
_space_group_IT_number 25
_cell_length_a 3.2115
_cell_length_b 4.3638
_cell_length_c 4.4807
_cell_angle_alpha 90.00
_cell_angle_beta 90.00
_cell_angle_gamma 90.00
loop_
_space_group_symop_operation_xyz
'x,y,z'
'-x,-y,z'
'-x,y,z'
'x,-y,z'
loop_
_atom_site_label
_atom_site_fract_x
_atom_site_fract_y
_atom_site_fract_z
Hf1 0.0000 0.0000 0.0000
V1 0.0000 0.5000 0.5163
V2 0.5000 0.0000 0.4906
V3 0.5000 0.5000 0.0608
# * energy relative to the lowest polymorph listed for this composition: 0.128 eV/atom
# * total energy: -9.123 eV per atom